Entry 1:
Entry from Alexandria via LeMat-Bulk: a relaxed KPu2TaO8 crystal (PBE).

Cell: 5.029 6.959 5.036 Å, 90.00 92.04 90.00°
Space group P2/m (No. 10)
Unique sites:
K (0.000, 0.000, 0.000) [1 per cell]
Pu (0.500, 0.254, 0.500) [2 per cell]
Ta (0.000, 0.500, 0.000) [1 per cell]
O (0.203, 0.300, 0.201) [4 per cell]
O (0.289, 0.500, 0.710) [2 per cell]
O (0.336, 0.000, 0.662) [2 per cell]

## Properties
total magnetic moment	6.000	μB/f.u.
density of states at the Fermi level	8.4	states/eV/cell
E	-9.35	eV per atom
ρ	7.9	Mg/m³
formation energy (no corrections)	-2.5807	eV per atom

***

Entry 2:
Entry from Alexandria via LeMat-Bulk: a relaxed PrLuAu2 crystal (PBE).

Cell: 4.9777 4.9777 13.7909 Å, 90.00 90.00 120.00°
Space group R-3m (No. 166, hexagonal axes)
Unique sites:
Pr (0.0000, 0.0000, 0.0000) [3 per cell]
Lu (0.0000, 0.0000, 0.5000) [3 per cell]
Au (0.0000, 0.0000, 0.2276) [6 per cell]

## Properties
polymorph energy (0 for the lowest one)	0.035	eV/atom
total magnetic moment	0.000	μB/f.u.
density of states at the Fermi level	5.3	states/eV/cell
E	-4.76	eV per atom
ρ	11.9	Mg/m³

***

Entry 3:
Entry from Alexandria via LeMat-Bulk: a relaxed Ce2NpTl3Se6 crystal (PBE).

Cell: 7.452 12.907 8.132 Å, 90.00 107.78 90.00°
Space group C2/m (No. 12)
Unique sites:
Ce (0.000, 0.167, 0.000) [4 per cell]
Np (0.000, 0.500, 0.000) [2 per cell]
Tl (0.000, 0.000, 0.500) [2 per cell]
Tl (0.000, 0.333, 0.500) [4 per cell]
Se (0.233, 0.335, 0.207) [8 per cell]
Se (0.240, 0.000, 0.207) [4 per cell]

## Properties
total magnetic moment	6.001	μB/f.u.
density of states at the Fermi level	39.2	states/eV/cell
E	-5.58	eV per atom
ρ	7.2	Mg/m³
formation energy (no corrections)	-1.1802	eV per atom

***

Entry 4:
Entry from Alexandria via LeMat-Bulk: a relaxed La4HgGe2 crystal (PBE).

Cell: 7.904 10.376 5.182 Å, 90.00 90.00 90.00°
Space group Cmmm (No. 65)
Unique sites:
La (0.241, 0.000, 0.000) [4 per cell]
La (0.250, 0.250, 0.500) [4 per cell]
Hg (0.000, 0.500, 0.500) [2 per cell]
Ge (0.000, 0.250, 0.000) [4 per cell]

## Properties
polymorph energy (0 for the lowest one)	0.099	eV/atom
total magnetic moment	0.000	μB/f.u.
density of states at the Fermi level	14.2	states/eV/cell
E	-4.74	eV per atom
ρ	7.0	Mg/m³

***

Entry 5:
Entry from Alexandria via LeMat-Bulk: a relaxed GeRh2Cl crystal (PBE).

Cell: 6.233 6.233 6.233 Å, 90.00 90.00 90.00°
Space group Fm-3m (No. 225)
Unique sites:
Ge (0.000, 0.000, 0.000) [4 per cell]
Rh (0.250, 0.250, 0.250) [8 per cell]
Cl (0.000, 0.000, 0.500) [4 per cell]

## Properties
polymorph energy (0 for the lowest one)	0.000	eV/atom
total magnetic moment	0.971	μB/f.u.
density of states at the Fermi level	11.8	states/eV/cell
E	-5.12	eV per atom
ρ	8.6	Mg/m³
formation energy (no corrections)	0.1738	eV per atom

***

Entry 6:
Entry from Alexandria via LeMat-Bulk: a relaxed Ti3Co2Re crystal (PBE).

Cell: 3.058 3.058 8.908 Å, 90.00 90.00 90.00°
Space group P4/mmm (No. 123)
Unique sites:
Ti (0.000, 0.000, 0.000) [1 per cell]
Ti (0.000, 0.000, 0.328) [2 per cell]
Co (0.500, 0.500, 0.157) [2 per cell]
Re (0.500, 0.500, 0.500) [1 per cell]

## Properties
polymorph energy (0 for the lowest one)	0.000	eV/atom
total magnetic moment	0.001	μB/f.u.
density of states at the Fermi level	3.6	states/eV/cell
E	-8.81	eV per atom
ρ	8.9	Mg/m³

***

Entry 7:
Entry from Alexandria via LeMat-Bulk: a relaxed Li2MoRu crystal (PBE).

Cell: 2.529 2.529 9.101 Å, 90.00 90.00 90.00°
Space group P4/mmm (No. 123)
Unique sites:
Li (0.000, 0.000, 0.236) [2 per cell]
Mo (0.500, 0.500, 0.500) [1 per cell]
Ru (0.500, 0.500, 0.000) [1 per cell]

## Properties
polymorph energy (0 for the lowest one)	0.159	eV/atom
total magnetic moment	0.447	μB/f.u.
density of states at the Fermi level	4.2	states/eV/cell
E	-5.62	eV per atom
ρ	6.0	Mg/m³

***

Entry 8:
Entry from Alexandria via LeMat-Bulk: a relaxed PuSbTe3 crystal (PBE).

Cell: 6.318 4.369 12.331 Å, 90.00 98.51 90.00°
Space group P2_1/m (No. 11)
Unique sites:
Pu (0.198, 0.250, 0.363) [2 per cell]
Sb (0.470, 0.250, 0.738) [2 per cell]
Te (0.048, 0.250, 0.793) [2 per cell]
Te (0.266, 0.750, 0.550) [2 per cell]
Te (0.360, 0.250, 0.117) [2 per cell]

## Properties
total magnetic moment	4.962	μB/f.u.
density of states at the Fermi level	22.2	states/eV/cell
E	-6.07	eV per atom
ρ	7.4	Mg/m³
formation energy (no corrections)	-0.4991	eV per atom